An optimized crystal structure of NaCa3F. Source: the Alexandria database, functional PBEsol.

abc: 5.2711 5.2711 5.2711
angles: 90.00 90.00 90.00
Atoms (fractional coordinates):
1 Na 0.0000 0.0000 0.0000
2 Ca 0.0000 0.5000 0.5000
3 Ca 0.5000 0.0000 0.5000
4 Ca 0.5000 0.5000 0.0000
5 F 0.5000 0.5000 0.5000

Computed properties:
* crystal system: cubic
* volume: 146.5 Å³ per cell
* magnetic moment: 0.00 Bohr magnetons per cell
* formation energy without anion corrections: -932 meV per atom